1.
{
  "formula": "Mg2CuGeS4",
  "functional": "PBE",
  "state": "relaxed",
  "lattice": [[-3.941, -3.163, -3.826], [-2.525, -3.284, 5.315], [-5.638, 5.874, 0.951]],
  "species": ["Mg", "Mg", "Mg", "Mg", "Cu", "Cu", "Ge", "Ge", "S", "S", "S", "S", "S", "S", "S", "S"],
  "fractional_positions": [[0.496, 0.325, 0.250], [0.496, 0.325, 0.750], [0.996, 0.675, 0.750], [0.996, 0.675, 0.250], [0.003, 0.167, 0.500], [0.503, 0.833, 0.000], [0.491, 0.817, 0.500], [0.991, 0.183, 0.000], [0.371, 0.158, 0.000], [0.871, 0.842, 0.500], [0.370, 0.156, 0.500], [0.870, 0.844, 0.000], [0.386, 0.676, 0.768], [0.886, 0.324, 0.268], [0.886, 0.324, 0.732], [0.386, 0.676, 0.232]],
  "volume_a3_per_atom": 21.88,
  "space_group": "Pmn2_1 (31)",
  "m_tot_mub_per_cell": 0.0,
  "e_form_raw_ev_per_atom": -0.77
}

=====

2.
{
  "formula": "NaScSb2",
  "functional": "PBE",
  "state": "relaxed",
  "lattice": [[4.128, 0.000, 0.000], [0.000, 4.873, 0.000], [0.000, 0.000, 4.873]],
  "species": ["Sc", "Sb", "Sb", "Na"],
  "fractional_positions": [[0.500, 0.000, 0.000], [0.000, 0.000, 0.500], [0.000, 0.500, 0.000], [0.500, 0.500, 0.500]],
  "volume_a3_per_atom": 24.51,
  "space_group": "P4/mmm (123)",
  "m_tot_mub_per_cell": 0.0,
  "e_form_raw_ev_per_atom": -0.43
}